Record 1
# PmSbMoO6, relaxed, DFT PBE with a Hubbard U
data_PmSbMoO6
_chemical_formula_sum 'Pm2 Sb2 Mo2 O12'
_cell_length_a 5.6172
_cell_length_b 5.6172
_cell_length_c 9.1506
_cell_angle_alpha 90.00
_cell_angle_beta 90.00
_cell_angle_gamma 120.00
_symmetry_space_group_name_H-M 'P 1'
_symmetry_Int_Tables_number 1
loop_
_symmetry_equiv_pos_as_xyz
'x,y,z'
loop_
_atom_site_label
_atom_site_fract_x
_atom_site_fract_y
_atom_site_fract_z
Pm1 0.3333 0.6667 0.2500
Pm2 0.6667 0.3333 0.7500
Sb1 0.6667 0.3333 0.2500
Sb2 0.3333 0.6667 0.7500
Mo1 0.0000 0.0000 0.0000
Mo2 0.0000 0.0000 0.5000
O1 0.7121 0.7037 0.1195
O2 0.9916 0.2879 0.1195
O3 0.2879 0.9917 0.6195
O4 0.0084 0.7121 0.8805
O5 0.2963 0.2879 0.3805
O6 0.9916 0.7037 0.3805
O7 0.7037 0.9917 0.8805
O8 0.7121 0.0083 0.3805
O9 0.0084 0.2963 0.6195
O10 0.2963 0.0083 0.1195
O11 0.7037 0.7121 0.6195
O12 0.2879 0.2963 0.8805
# electronic total energy: -6.905 eV/atom
# symmetry: P-31c

***

Record 2
# Pm2ScMoO6, relaxed, DFT PBE with a Hubbard U
data_Pm2ScMoO6
_chemical_formula_sum 'Pm4 Sc2 Mo2 O12'
_cell_length_a 5.5888
_cell_length_b 5.8772
_cell_length_c 8.0824
_cell_angle_alpha 90.00
_cell_angle_beta 90.19
_cell_angle_gamma 90.00
_symmetry_space_group_name_H-M 'P 1'
_symmetry_Int_Tables_number 1
loop_
_symmetry_equiv_pos_as_xyz
'x,y,z'
loop_
_atom_site_label
_atom_site_fract_x
_atom_site_fract_y
_atom_site_fract_z
Pm1 0.0183 0.9392 0.2492
Pm2 0.5183 0.5608 0.7492
Pm3 0.9817 0.0608 0.7508
Pm4 0.4817 0.4392 0.2508
Sc1 0.5000 0.0000 0.0000
Sc2 0.0000 0.5000 0.5000
Mo1 0.5000 0.0000 0.5000
Mo2 0.0000 0.5000 0.0000
O1 0.3093 0.7011 0.0645
O2 0.8093 0.7989 0.5645
O3 0.6907 0.2989 0.9355
O4 0.1907 0.2011 0.4355
O5 0.3037 0.6934 0.4399
O6 0.8037 0.8066 0.9399
O7 0.6963 0.3066 0.5601
O8 0.1963 0.1934 0.0601
O9 0.8798 0.5500 0.2526
O10 0.3798 0.9500 0.7526
O11 0.1202 0.4500 0.7474
O12 0.6202 0.0500 0.2474
# electronic total energy: -8.304 eV/atom
# DOS(E_F): 0.00 states/eV/f.u.
# symmetry: P2_1/c

***

Record 3
# PmScMo2O6, relaxed, DFT PBE with a Hubbard U
data_PmScMo2O6
_chemical_formula_sum 'Pm1 Sc1 Mo2 O6'
_cell_length_a 5.6010
_cell_length_b 5.6010
_cell_length_c 5.8712
_cell_angle_alpha 61.52
_cell_angle_beta 61.52
_cell_angle_gamma 60.01
_symmetry_space_group_name_H-M 'P 1'
_symmetry_Int_Tables_number 1
loop_
_symmetry_equiv_pos_as_xyz
'x,y,z'
loop_
_atom_site_label
_atom_site_fract_x
_atom_site_fract_y
_atom_site_fract_z
Pm1 0.7981 0.7981 0.6060
Sc1 0.3112 0.3112 0.0665
Mo1 0.5183 0.5184 0.4450
Mo2 0.0139 0.0139 0.9582
O1 0.6156 0.2361 0.2306
O2 0.2361 0.9178 0.2306
O3 0.9177 0.6156 0.2303
O4 0.3836 0.7159 0.7494
O5 0.7159 0.1512 0.7494
O6 0.1512 0.3834 0.7493
# electronic total energy: -8.025 eV/atom
# DOS(E_F): 0.00 states/eV/f.u.
# symmetry: R3